[1]
## KTaCd2 (PBE)

Data for an optimized crystal structure of KTaCd2.

abc: 7.330 7.330 7.330
angles: 90.00 90.00 90.00
Space group Fm-3m (No. 225)
Asymmetric unit:
K (0.000, 0.000, 0.000) (multiplicity 4)
Ta (0.000, 0.000, 0.500) (multiplicity 4)
Cd (0.250, 0.250, 0.250) (multiplicity 8)

Properties
Crystal system   cubic
ΔE_f   3.65 eV per formula unit
Relative energy among the computed polymorphs   518 meV/atom

=====

[2]
## SrCd2IO6 (PBE)

Data for an optimized crystal structure of SrCd2IO6.

abc: 5.8326 5.8326 15.3785
angles: 90.00 90.00 120.00
Space group R3 (No. 146, hexagonal axes)
Asymmetric unit:
Sr (0.0000, 0.0000, 0.0000) (multiplicity 3)
Cd (0.0000, 0.0000, 0.2673) (multiplicity 3)
Cd (0.0000, 0.0000, 0.7852) (multiplicity 3)
I (0.0000, 0.0000, 0.4826) (multiplicity 3)
O (0.0105, 0.7417, 0.4016) (multiplicity 9)
O (0.0123, 0.3720, 0.2176) (multiplicity 9)

Properties
Crystal system   trigonal

=====

[3]
## Dy2MnCu2Ni5 (PBE)

Data for an optimized crystal structure of Dy2MnCu2Ni5.

abc: 8.918 8.918 3.680
angles: 90.00 90.00 90.00
Space group P4/mbm (No. 127)
Asymmetric unit:
Dy (0.180, 0.320, 0.000) (multiplicity 4)
Mn (0.000, 0.000, 0.000) (multiplicity 2)
Cu (0.117, 0.617, 0.000) (multiplicity 4)
Ni (0.000, 0.500, 0.500) (multiplicity 2)
Ni (0.058, 0.797, 0.500) (multiplicity 8)

Properties
Crystal system   tetragonal
ΔE_f   -1.98 eV per formula unit

=====

Values for total energy, eV per atom, ordered as above
-2.783, -4.627, -5.745